# 1
The following is a PBE calculation of crystalline RbLaPt at its relaxed geometry, from OQMD.

Cell lengths 5.195, 5.195, 5.195 Å; angles 60.00, 60.00, 60.00 degrees
Fractional positions:
La (0.250, 0.250, 0.250)
Pt (0.000, 0.000, 0.000)
Rb (0.750, 0.750, 0.750)

Values from the calculation:
- Raw total energy: -4.138 eV per atom
- Crystal system: cubic

***

# 2
The following is a PBE calculation of crystalline RbLaPtS3 at its relaxed geometry, from OQMD.

Cell lengths 7.972, 7.972, 10.715 Å; angles 90.00, 90.00, 150.07 degrees
Fractional positions:
La (0.000, 0.000, 0.500)
La (0.000, 0.000, 0.000)
S (0.615, 0.385, 0.910)
S (0.078, 0.922, 0.250)
S (0.615, 0.385, 0.590)
S (0.385, 0.615, 0.090)
S (0.385, 0.615, 0.410)
S (0.922, 0.078, 0.750)
Pt (0.494, 0.506, 0.250)
Pt (0.506, 0.494, 0.750)
Rb (0.752, 0.248, 0.250)
Rb (0.248, 0.752, 0.750)

Values from the calculation:
- Raw total energy: -5.244 eV per atom
- Crystal system: orthorhombic

***

# 3
The following is a PBE calculation of crystalline La2SbPt8 at its relaxed geometry, from OQMD.

Cell lengths 4.346, 9.420, 9.420 Å; angles 145.49, 90.00, 90.00 degrees
Fractional positions:
Pt (0.000, 0.141, 0.906)
Pt (0.000, 0.509, 0.007)
Pt (0.500, 0.799, 0.208)
Pt (0.000, 0.335, 0.335)
Pt (0.000, 0.007, 0.509)
Pt (0.500, 0.208, 0.799)
Pt (0.000, 0.906, 0.141)
Pt (0.500, 0.035, 0.035)
Sb (0.000, 0.772, 0.772)
La (0.500, 0.359, 0.615)
La (0.500, 0.615, 0.359)

Values from the calculation:
- Raw total energy: -6.479 eV per atom
- Crystal system: orthorhombic

***

# 4
The following is a PBE calculation of crystalline LaSiPt at its relaxed geometry, from OQMD.

Cell lengths 7.922, 7.922, 7.922 Å; angles 148.68, 148.68, 44.88 degrees
Fractional positions:
Pt (0.664, 0.164, 0.500)
Pt (0.914, 0.914, 0.000)
Si (0.831, 0.331, 0.500)
Si (0.081, 0.081, 0.000)
La (0.501, 0.501, 0.000)
La (0.251, 0.751, 0.500)

Values from the calculation:
- Raw total energy: -6.632 eV per atom
- Crystal system: tetragonal

***

# 5
The following is a PBE calculation of crystalline LaSi2Pt5 at its relaxed geometry, from OQMD.

Cell lengths 6.363, 6.363, 6.363 Å; angles 143.28, 112.43, 79.45 degrees
Fractional positions:
Pt (0.452, 0.650, 0.801)
Pt (0.548, 0.350, 0.199)
Pt (0.151, 0.350, 0.801)
Pt (0.849, 0.650, 0.199)
Pt (0.500, 0.000, 0.500)
Si (0.255, 0.755, 0.500)
Si (0.745, 0.245, 0.500)
La (0.000, 0.000, 0.000)

Values from the calculation:
- Raw total energy: -6.684 eV per atom
- Crystal system: orthorhombic

***

# 6
The following is a PBE calculation of crystalline LaSiSnPt2 at its relaxed geometry, from OQMD.

Cell lengths 4.388, 4.388, 10.699 Å; angles 90.00, 90.00, 90.00 degrees
Fractional positions:
Sn (0.500, 0.500, 0.500)
Sn (0.000, 0.000, 0.500)
Pt (0.000, 0.500, 0.662)
Pt (0.500, 0.000, 0.338)
Pt (0.500, 0.500, 0.000)
Pt (0.000, 0.000, 0.000)
Si (0.500, 0.000, 0.116)
Si (0.000, 0.500, 0.884)
La (0.500, 0.000, 0.767)
La (0.000, 0.500, 0.233)

Values from the calculation:
- Raw total energy: -6.323 eV per atom
- Crystal system: tetragonal

***

# 7
The following is a PBE calculation of crystalline La3Zn2Si4Pt2 at its relaxed geometry, from OQMD.

Cell lengths 12.908, 12.908, 12.908 Å; angles 161.13, 160.95, 26.94 degrees
Fractional positions:
Si (0.691, 0.691, 0.000)
Si (0.048, 0.548, 0.500)
Si (0.309, 0.309, 0.000)
Si (0.952, 0.452, 0.500)
Zn (0.750, 0.250, 0.500)
Zn (0.250, 0.750, 0.500)
La (0.147, 0.147, 0.000)
La (0.500, 0.000, 0.500)
La (0.853, 0.853, 0.000)
Pt (0.405, 0.405, 0.000)
Pt (0.595, 0.595, 0.000)

Values from the calculation:
- Raw total energy: -5.541 eV per atom
- Crystal system: orthorhombic

***

# 8
The following is a PBE calculation of crystalline LaSmPt at its relaxed geometry, from OQMD.

Cell lengths 4.847, 4.847, 4.847 Å; angles 60.00, 60.00, 60.00 degrees
Fractional positions:
La (0.250, 0.250, 0.250)
Sm (0.000, 0.000, 0.000)
Pt (0.750, 0.750, 0.750)

Values from the calculation:
- Raw total energy: -5.458 eV per atom
- Energy relative to the elements: -0.23 eV per atom
- Crystal system: cubic

***

# 9
The following is a PBE calculation of crystalline LaSm2Pt9 at its relaxed geometry, from OQMD.

Cell lengths 9.441, 9.441, 9.441 Å; angles 33.58, 33.58, 33.58 degrees
Fractional positions:
Pt (0.412, 0.919, 0.412)
Pt (0.667, 0.667, 0.667)
Pt (0.588, 0.588, 0.081)
Pt (0.081, 0.588, 0.588)
Pt (0.412, 0.412, 0.919)
Pt (0.500, 0.500, 0.500)
Pt (0.588, 0.081, 0.588)
Pt (0.333, 0.333, 0.333)
Pt (0.919, 0.412, 0.412)
La (0.000, 0.000, 0.000)
Sm (0.860, 0.860, 0.860)
Sm (0.140, 0.140, 0.140)

Values from the calculation:
- Raw total energy: -6.682 eV per atom
- Energy relative to the elements: -0.94 eV per atom
- Crystal system: trigonal

***

# 10
The following is a PBE calculation of crystalline LaSmPt2 at its relaxed geometry, from OQMD.

Cell lengths 4.572, 5.787, 5.787 Å; angles 39.41, 90.00, 90.00 degrees
Fractional positions:
Pt (0.000, 0.091, 0.091)
Pt (0.500, 0.911, 0.911)
Sm (0.500, 0.636, 0.636)
La (0.000, 0.362, 0.362)

Values from the calculation:
- Raw total energy: -6.625 eV per atom
- Energy relative to the elements: -1.19 eV per atom
- Crystal system: orthorhombic

***

# 11
The following is a PBE calculation of crystalline SrLaPt at its relaxed geometry, from OQMD.

Cell lengths 5.131, 5.131, 5.131 Å; angles 60.00, 60.00, 60.00 degrees
Fractional positions:
La (0.250, 0.250, 0.250)
Pt (0.000, 0.000, 0.000)
Sr (0.750, 0.750, 0.750)

Values from the calculation:
- Raw total energy: -4.879 eV per atom
- Crystal system: cubic

***

# 12
The following is a PBE calculation of crystalline SrLaPt at its relaxed geometry, from OQMD.

Cell lengths 4.444, 5.815, 8.572 Å; angles 90.00, 90.00, 90.00 degrees
Fractional positions:
Sr (0.000, 0.000, 0.626)
Sr (0.500, 0.500, 0.374)
La (0.500, 0.500, 0.906)
La (0.000, 0.000, 0.094)
Pt (0.000, 0.500, 0.132)
Pt (0.500, 0.000, 0.868)

Values from the calculation:
- Raw total energy: -5.019 eV per atom
- Crystal system: orthorhombic

***

# 13
The following is a PBE calculation of crystalline LaTePt at its relaxed geometry, from OQMD.

Cell lengths 8.404, 8.404, 4.055 Å; angles 90.00, 90.00, 120.00 degrees
Fractional positions:
La (0.000, 0.000, 0.500)
La (0.333, 0.667, 0.000)
La (0.667, 0.333, 0.000)
Pt (0.398, 0.398, 0.500)
Pt (0.000, 0.602, 0.500)
Pt (0.602, 0.000, 0.500)
Te (0.000, 0.280, 0.000)
Te (0.280, 0.000, 0.000)
Te (0.720, 0.720, 0.000)

Values from the calculation:
- Raw total energy: -5.346 eV per atom
- Crystal system: hexagonal

***

# 14
The following is a PBE calculation of crystalline LaTlPt at its relaxed geometry, from OQMD.

Cell lengths 5.021, 5.021, 5.021 Å; angles 60.00, 60.00, 60.00 degrees
Fractional positions:
Pt (0.250, 0.250, 0.250)
La (0.000, 0.000, 0.000)
Tl (0.750, 0.750, 0.750)

Values from the calculation:
- Raw total energy: -4.651 eV per atom
- Crystal system: cubic

***

# 15
The following is a PBE calculation of crystalline La3TlPt at its relaxed geometry, from OQMD.

Cell lengths 5.954, 5.954, 9.014 Å; angles 90.00, 90.00, 99.54 degrees
Fractional positions:
Pt (0.197, 0.197, 0.000)
Pt (0.803, 0.803, 0.000)
La (0.760, 0.760, 0.681)
La (0.285, 0.715, 0.000)
La (0.240, 0.240, 0.319)
La (0.715, 0.285, 0.000)
La (0.760, 0.760, 0.319)
La (0.240, 0.240, 0.681)
Tl (0.742, 0.258, 0.500)
Tl (0.258, 0.742, 0.500)

Values from the calculation:
- Raw total energy: -5.279 eV per atom
- Crystal system: orthorhombic

***

# 16
The following is a PBE calculation of crystalline LaYPt2 at its relaxed geometry, from OQMD.

Cell lengths 7.027, 7.027, 7.242 Å; angles 90.00, 90.00, 120.00 degrees
Fractional positions:
Pt (0.893, 0.785, 0.000)
Pt (0.107, 0.893, 0.333)
Pt (0.785, 0.893, 0.667)
Pt (0.215, 0.107, 0.667)
Pt (0.107, 0.215, 0.000)
Pt (0.893, 0.107, 0.333)
La (0.000, 0.500, 0.167)
La (0.500, 0.000, 0.500)
La (0.500, 0.500, 0.833)
Y (0.000, 0.500, 0.667)
Y (0.500, 0.000, 0.000)
Y (0.500, 0.500, 0.333)

Values from the calculation:
- Raw total energy: -6.348 eV per atom
- Energy relative to the elements: -0.47 eV per atom
- Crystal system: hexagonal

***

# 17
The following is a PBE calculation of crystalline La2YPt2 at its relaxed geometry, from OQMD.

Cell lengths 7.957, 7.957, 4.126 Å; angles 90.00, 90.00, 90.00 degrees
Fractional positions:
La (0.663, 0.837, 0.500)
La (0.337, 0.163, 0.500)
La (0.163, 0.663, 0.500)
La (0.837, 0.337, 0.500)
Pt (0.140, 0.360, 0.000)
Pt (0.360, 0.860, 0.000)
Pt (0.860, 0.640, 0.000)
Pt (0.640, 0.140, 0.000)
Y (0.000, 0.000, 0.000)
Y (0.500, 0.500, 0.000)

Values from the calculation:
- Raw total energy: -6.673 eV per atom
- Energy relative to the elements: -0.99 eV per atom
- Crystal system: tetragonal

***

# 18
The following is a PBE calculation of crystalline LaZn2Pt2 at its relaxed geometry, from OQMD.

Cell lengths 6.708, 6.708, 6.708 Å; angles 145.01, 145.01, 50.32 degrees
Fractional positions:
Pt (0.613, 0.613, 0.000)
Pt (0.387, 0.387, 0.000)
Zn (0.250, 0.750, 0.500)
Zn (0.750, 0.250, 0.500)
La (0.000, 0.000, 0.000)

Values from the calculation:
- Raw total energy: -4.744 eV per atom
- Energy relative to the elements: -0.83 eV per atom
- Crystal system: tetragonal

***

# 19
The following is a PBE calculation of crystalline La2Pu at its relaxed geometry, from OQMD.

Cell lengths 8.602, 8.602, 8.602 Å; angles 60.00, 60.00, 60.00 degrees
Each line ends with the local moment (μB).
Fractional positions:
La (0.375, 0.375, 0.375)  0.50
La (0.375, 0.375, 0.875)  0.50
La (0.875, 0.375, 0.375)  0.56
La (0.375, 0.875, 0.375)  0.50
Pu (0.500, 0.500, 0.500)  5.69
Pu (0.250, 0.250, 0.250)  5.69

Values from the calculation:
- Raw total energy: -6.429 eV per atom
- Energy relative to the elements: 1.56 eV per atom
- Crystal system: cubic

***

# 20
The following is a PBE calculation of crystalline LaPuSc at its relaxed geometry, from OQMD.

Cell lengths 5.056, 5.056, 5.056 Å; angles 60.00, 60.00, 60.00 degrees
Each line ends with the local moment (μB).
Fractional positions:
La (0.000, 0.000, 0.000)  0.36
Pu (0.250, 0.250, 0.250)  5.51
Sc (0.750, 0.750, 0.750)  0.27

Values from the calculation:
- Raw total energy: -7.754 eV per atom
- Energy relative to the elements: 0.71 eV per atom
- Crystal system: cubic